# LuSn2W, relaxed, DFT PBE-GGA
data_LuSn2W
_symmetry_space_group_name_H-M 'F -4 3 m'
_symmetry_Int_Tables_number 216
_symmetry_space_group_name_Hall 'F -4 2 3'
_cell_length_a 7.0576
_cell_length_b 7.0576
_cell_length_c 7.0576
_cell_angle_alpha 90.00
_cell_angle_beta 90.00
_cell_angle_gamma 90.00
loop_
_atom_site_label
_atom_site_type_symbol
_atom_site_fract_x
_atom_site_fract_y
_atom_site_fract_z
Lu1 Lu 0.0000 0.0000 0.0000
Sn1 Sn 0.0000 0.0000 0.5000
Sn2 Sn 0.2500 0.2500 0.7500
W1 W 0.2500 0.2500 0.2500
# - Crystal system: cubic
# - V: 351.54 Å³/cell
# - M_tot: 0.36 μB/f.u.
# - Total energy: -5.87 eV per atom

***

# Hf31AlO64, relaxed, DFT PBE-GGA
data_Hf31AlO64
_symmetry_space_group_name_H-M 'P 1'
_symmetry_Int_Tables_number 1
_cell_length_a 10.0142
_cell_length_b 10.0717
_cell_length_c 10.4303
_cell_angle_alpha 89.72
_cell_angle_beta 89.87
_cell_angle_gamma 89.74
loop_
_symmetry_equiv_pos_as_xyz
'x,y,z'
loop_
_atom_site_label
_atom_site_type_symbol
_atom_site_fract_x
_atom_site_fract_y
_atom_site_fract_z
Hf1 Hf 0.0000 0.0000 0.0000
Hf2 Hf 0.0003 0.0023 0.4997
Hf3 Hf 0.9999 0.2553 0.2100
Hf4 Hf 0.0007 0.5037 0.4977
Hf5 Hf 0.0014 0.7488 0.7195
Hf6 Hf 0.0032 0.7537 0.2183
Hf7 Hf 0.2645 0.2528 0.9677
Hf8 Hf 0.2664 0.5077 0.7488
Hf9 Hf 0.2673 0.0035 0.7493
Hf10 Hf 0.2684 0.0046 0.2486
Hf11 Hf 0.2683 0.2524 0.4652
Hf12 Hf 0.2684 0.7554 0.9686
Hf13 Hf 0.2696 0.7542 0.4677
Hf14 Hf 0.2722 0.5051 0.2495
Hf15 Hf 0.4993 0.2534 0.7176
Hf16 Hf 0.5012 0.0033 0.4996
Hf17 Hf 0.5012 0.2520 0.2143
Hf18 Hf 0.5009 0.5035 0.9996
Hf19 Hf 0.5022 0.5016 0.4994
Hf20 Hf 0.5031 0.7531 0.7184
Hf21 Hf 0.5030 0.7550 0.2169
Hf22 Hf 0.5037 0.0047 0.9974
Hf23 Hf 0.7683 0.2527 0.4643
Hf24 Hf 0.7684 0.9995 0.7512
Hf25 Hf 0.7694 0.0029 0.2493
Hf26 Hf 0.7693 0.5009 0.7487
Hf27 Hf 0.7694 0.5038 0.2450
Hf28 Hf 0.7690 0.7528 0.4680
Hf29 Hf 0.7724 0.2561 0.9644
Hf30 Hf 0.7737 0.7463 0.9680
Hf31 Hf 0.9982 0.2497 0.7150
Al1 Al 0.0030 0.5239 0.0147
O1 O 0.0983 0.9327 0.6677
O2 O 0.0990 0.1787 0.0489
O3 O 0.0994 0.1826 0.5470
O4 O 0.0990 0.4334 0.6707
O5 O 0.1001 0.6850 0.0493
O6 O 0.0998 0.9330 0.1678
O7 O 0.1015 0.6815 0.5511
O8 O 0.1029 0.4401 0.1573
O9 O 0.1449 0.4366 0.9244
O10 O 0.1692 0.1859 0.7994
O11 O 0.1688 0.4332 0.4133
O12 O 0.1707 0.1875 0.2960
O13 O 0.1709 0.9346 0.4169
O14 O 0.1708 0.9353 0.9174
O15 O 0.1717 0.6836 0.3011
O16 O 0.1739 0.6874 0.7996
O17 O 0.3622 0.3795 0.5981
O18 O 0.3635 0.1300 0.1144
O19 O 0.3628 0.3802 0.0984
O20 O 0.3646 0.1286 0.6159
O21 O 0.3650 0.8784 0.6006
O22 O 0.3660 0.6282 0.6176
O23 O 0.3663 0.6308 0.1174
O24 O 0.3662 0.8805 0.0997
O25 O 0.3939 0.3806 0.8497
O26 O 0.4022 0.1303 0.8666
O27 O 0.4048 0.1284 0.3650
O28 O 0.4065 0.3787 0.3488
O29 O 0.4059 0.6297 0.8676
O30 O 0.4056 0.8791 0.3503
O31 O 0.4060 0.8803 0.8494
O32 O 0.4066 0.6290 0.3669
O33 O 0.5981 0.1850 0.5486
O34 O 0.5986 0.4311 0.6664
O35 O 0.5991 0.9356 0.1672
O36 O 0.5995 0.1845 0.0478
O37 O 0.6003 0.6821 0.5505
O38 O 0.5999 0.9322 0.6658
O39 O 0.6009 0.4312 0.1655
O40 O 0.6029 0.6803 0.0517
O41 O 0.6636 0.4308 0.9136
O42 O 0.6657 0.1767 0.8000
O43 O 0.6697 0.1832 0.2984
O44 O 0.6713 0.4344 0.4147
O45 O 0.6712 0.9286 0.9173
O46 O 0.6710 0.9337 0.4170
O47 O 0.6727 0.6850 0.2989
O48 O 0.6742 0.6836 0.8007
O49 O 0.8618 0.1266 0.6145
O50 O 0.8631 0.1300 0.1148
O51 O 0.8634 0.8777 0.1020
O52 O 0.8650 0.8762 0.6019
O53 O 0.8662 0.6271 0.6176
O54 O 0.8670 0.3781 0.5908
O55 O 0.8719 0.6278 0.1177
O56 O 0.8740 0.3851 0.0876
O57 O 0.8885 0.3647 0.8333
O58 O 0.9053 0.1218 0.8650
O59 O 0.9061 0.1292 0.3637
O60 O 0.9057 0.3803 0.3422
O61 O 0.9056 0.6288 0.3674
O62 O 0.9064 0.8713 0.8525
O63 O 0.9061 0.8786 0.3518
O64 O 0.9108 0.6136 0.8746
# - Crystal system: triclinic
# - V: 1051.97 Å³/cell
# - M_tot: 0.99 μB/f.u.
# - Energy above the lowest structure with this stoichiometry: 250.0 kJ/mol of formula units

***

# DySCl3, relaxed, DFT PBE-GGA
data_DySCl3
_symmetry_space_group_name_H-M 'C 1 2/m 1'
_symmetry_Int_Tables_number 12
_cell_length_a 7.3335
_cell_length_b 12.8578
_cell_length_c 6.7232
_cell_angle_alpha 90.00
_cell_angle_beta 95.29
_cell_angle_gamma 90.00
loop_
_symmetry_equiv_pos_as_xyz
'x,y,z'
'-x,-y,-z'
'-x,y,-z'
'x,-y,z'
'x+1/2,y+1/2,z'
'-x+1/2,-y+1/2,-z'
'-x+1/2,y+1/2,-z'
'x+1/2,-y+1/2,z'
loop_
_atom_site_label
_atom_site_type_symbol
_atom_site_fract_x
_atom_site_fract_y
_atom_site_fract_z
Dy1 Dy 0.0000 0.1878 0.0000
S1 S 0.0634 0.0000 0.8328
Cl1 Cl 0.1941 0.2903 0.7555
Cl2 Cl 0.1937 0.5000 0.3138
# - Crystal system: monoclinic
# - V: 631.25 Å³/cell
# - M_tot: 0.00 μB/f.u.
# - Energy above the lowest structure with this stoichiometry: 66.5 kJ/mol of formula units

***

# Be2AgBi, relaxed, DFT PBE-GGA
data_Be2AgBi
_symmetry_space_group_name_H-M 'F -4 3 m'
_symmetry_Int_Tables_number 216
_symmetry_space_group_name_Hall 'F -4 2 3'
_cell_length_a 6.5861
_cell_length_b 6.5861
_cell_length_c 6.5861
_cell_angle_alpha 90.00
_cell_angle_beta 90.00
_cell_angle_gamma 90.00
loop_
_atom_site_label
_atom_site_type_symbol
_atom_site_fract_x
_atom_site_fract_y
_atom_site_fract_z
Be1 Be 0.0000 0.0000 0.0000
Be2 Be 0.2500 0.2500 0.2500
Ag1 Ag 0.2500 0.2500 0.7500
Bi1 Bi 0.0000 0.0000 0.5000
# - Crystal system: cubic
# - V: 285.69 Å³/cell
# - Total energy: -2.79 eV per atom

***

# RbSbIr, relaxed, DFT PBE-GGA
data_RbSbIr
_symmetry_space_group_name_H-M 'F -4 3 m'
_symmetry_Int_Tables_number 216
_symmetry_space_group_name_Hall 'F -4 2 3'
_cell_length_a 7.1490
_cell_length_b 7.1490
_cell_length_c 7.1490
_cell_angle_alpha 90.00
_cell_angle_beta 90.00
_cell_angle_gamma 90.00
loop_
_atom_site_label
_atom_site_type_symbol
_atom_site_fract_x
_atom_site_fract_y
_atom_site_fract_z
Rb1 Rb 0.0000 0.0000 0.0000
Sb1 Sb 0.2500 0.2500 0.2500
Ir1 Ir 0.2500 0.2500 0.7500
# - Crystal system: cubic
# - V: 365.37 Å³/cell
# - M_tot: 0.02 μB/f.u.
# - Energy above the lowest structure with this stoichiometry: 323.0 kJ/mol of formula units

***

# Y4SiAuC2, relaxed, DFT PBE-GGA
data_Y4SiAuC2
_symmetry_space_group_name_H-M 'P -6 m 2'
_symmetry_Int_Tables_number 187
_symmetry_space_group_name_Hall 'P -6 2'
_cell_length_a 3.6499
_cell_length_b 3.6499
_cell_length_c 14.3175
_cell_angle_alpha 90.00
_cell_angle_beta 90.00
_cell_angle_gamma 120.00
loop_
_atom_site_label
_atom_site_type_symbol
_atom_site_fract_x
_atom_site_fract_y
_atom_site_fract_z
Y1 Y 0.0000 0.0000 0.1524
Y2 Y 0.3333 0.6667 0.3411
Si1 Si 0.3333 0.6667 0.0000
Au1 Au 0.0000 0.0000 0.5000
C1 C 0.6667 0.3333 0.2535
# - Crystal system: hexagonal
# - V: 165.18 Å³/cell
# - M_tot: 0.02 μB/f.u.
# - Total energy: -7.07 eV per atom